No. 1
Below is a relaxed Tb7Dy2Ho3 crystal, with properties calculated at the PBE-GGA level.

Computed properties:
**Energy above the most stable polymorph in this dataset**: 198 meV/atom
**Calculated total energy**: -51.633 eV for the cell shown

Structure (POSCAR):
```
Tb7Dy2Ho3
1.0
5.4741 -0.0001 0.0000
-0.0001 6.1580 -0.0782
0.0001 -0.1139 12.0130
Ho Tb Dy
3 7 2
Direct
0.5000 0.5000 0.0000
0.0000 0.0557 0.6599
0.0000 0.9443 0.3401
0.5000 0.9122 0.8315
0.5000 0.2380 0.4537
0.5000 0.0878 0.1685
0.0000 0.4398 0.1800
0.0000 0.5602 0.8200
0.0000 0.0000 0.0000
0.5000 0.7620 0.5463
0.5000 0.6086 0.2784
0.5000 0.3914 0.7216
```



No. 2
Below is a relaxed TbDy6Ho crystal, with properties calculated at the PBE-GGA level.

Computed properties:
**Energy above the most stable polymorph in this dataset**: 186 meV/atom
**Calculated total energy**: -35.170 eV for the cell shown

Structure (POSCAR):
```
TbDy6Ho
1.0
6.2736 -0.2046 2.3431
0.4633 6.4535 -0.6777
1.0080 -0.9432 6.7518
Dy Ho Tb
6 1 1
Direct
0.0952 0.7297 0.4778
0.5751 0.7695 0.5195
0.4249 0.2305 0.4805
0.9048 0.2703 0.5222
0.5481 0.7494 0.9993
0.4519 0.2506 0.0007
0.0000 0.5000 0.0000
0.0000 0.0000 0.0000
```



No. 3
Below is a relaxed Tb7Dy2Ho4 crystal, with properties calculated at the PBE-GGA level.

Computed properties:
**Calculated total energy**: -57.688 eV for the cell shown

Structure (POSCAR):
```
Tb7Dy2Ho4
1.0
-3.1215 -4.5336 2.5231
5.9167 0.6027 1.1373
-2.7593 7.6366 10.3081
Ho Tb Dy
4 7 2
Direct
0.6667 0.3333 0.5000
0.0000 0.0000 0.3932
0.3333 0.6667 0.5000
0.0000 0.0000 0.6068
0.6394 0.6394 0.2179
0.3606 0.3606 0.7821
0.3606 0.0000 0.2179
0.0000 0.0000 0.0000
0.0000 0.6394 0.7821
0.0000 0.3606 0.2179
0.6394 0.0000 0.7821
0.3333 0.6667 0.0000
0.6667 0.3333 0.0000
```



No. 4
Below is a relaxed Tb3DyHo5 crystal, with properties calculated at the PBE-GGA level.

Computed properties:
**Energy above the most stable polymorph in this dataset**: 0 meV/atom
**Calculated total energy**: -81.527 eV for the cell shown

Structure (POSCAR):
```
Tb3DyHo5
1.0
-8.2795 2.5569 -4.2626
0.4746 -8.1762 5.1127
-1.8768 3.4767 5.7309
Ho Tb Dy
10 6 2
Direct
0.6861 0.0000 0.2500
0.0002 0.6860 0.2500
0.9999 0.3518 0.2500
0.3518 0.3518 0.7500
0.6482 0.6482 0.2500
0.9998 0.3140 0.7500
0.3142 0.3140 0.2500
0.0001 0.6482 0.7500
0.6858 0.6860 0.7500
0.3139 0.0000 0.7500
0.3328 0.6657 0.0000
0.0000 0.0000 0.5000
0.6671 0.3343 0.5000
0.3329 0.6657 0.5000
0.6672 0.3343 0.0000
0.0000 0.0000 0.0000
0.3522 0.0000 0.2500
0.6478 0.0000 0.7500
```



No. 5
Below is a relaxed TbDy5Ho7 crystal, with properties calculated at the PBE-GGA level.

Computed properties:
**Calculated total energy**: -56.319 eV for the cell shown

Structure (POSCAR):
```
TbDy5Ho7
1.0
-4.9916 -1.7715 4.0011
2.7448 -3.0168 7.5951
-2.5090 6.3955 5.2080
Ho Dy Tb
7 5 1
Direct
0.7297 0.2703 0.2703
0.4807 0.1896 0.8489
0.9812 0.6888 0.3488
0.4243 0.5757 0.5757
0.2308 0.2692 0.2692
0.4807 0.8489 0.1896
0.9812 0.3488 0.6888
0.4632 0.9959 0.5416
0.9993 0.9959 0.5416
0.9993 0.5416 0.9959
0.7310 0.7690 0.7690
0.4632 0.5416 0.9959
0.0352 0.9648 0.9648
```



No. 6
Below is a relaxed Tb6Dy4Ho crystal, with properties calculated at the PBE-GGA level.

Computed properties:
**Energy above the most stable polymorph in this dataset**: 297 meV/atom
**Calculated total energy**: -46.088 eV for the cell shown

Structure (POSCAR):
```
Tb6Dy4Ho
1.0
-4.6046 -5.6697 1.5780
4.2659 -1.8351 5.8543
-3.4416 7.7675 0.1736
Tb Dy Ho
6 4 1
Direct
0.5453 0.5453 0.6274
0.5000 0.0000 0.0000
0.0000 0.5000 0.0000
0.0821 0.0821 0.6274
0.9179 0.4547 0.3726
0.4547 0.9179 0.3726
0.2457 0.2457 0.1584
0.9127 0.9127 0.1584
0.7543 0.0873 0.8416
0.0873 0.7543 0.8416
0.5000 0.5000 0.0000
```



No. 7
Below is a relaxed Tb2Dy8Ho crystal, with properties calculated at the PBE-GGA level.

Computed properties:
**Energy above the most stable polymorph in this dataset**: 0 meV/atom
**Calculated total energy**: -48.765 eV for the cell shown

Structure (POSCAR):
```
Tb2Dy8Ho
1.0
6.2359 1.7349 1.3164
2.1753 9.4152 2.9933
2.1753 5.4180 8.2615
Dy Ho Tb
8 1 2
Direct
0.2718 0.4107 0.4107
0.7718 0.1742 0.6493
0.8224 0.2437 0.2437
0.2282 0.3507 0.8258
0.7282 0.5893 0.5893
0.1776 0.7563 0.7563
0.2282 0.8258 0.3507
0.7718 0.6493 0.1742
0.0000 0.0000 0.0000
0.3988 0.2006 0.2006
0.6012 0.7994 0.7994
```



No. 8
Below is a relaxed TbDy6Ho crystal, with properties calculated at the PBE-GGA level.

Computed properties:
**Energy above the most stable polymorph in this dataset**: 0 meV/atom
**Calculated total energy**: -36.658 eV for the cell shown

Structure (POSCAR):
```
TbDy6Ho
1.0
-3.7501 3.2586 -0.5660
-3.1914 -3.3406 1.9125
1.7359 3.5902 9.1677
Dy Tb Ho
6 1 1
Direct
0.5000 0.5000 0.5000
0.0000 0.5000 0.2494
0.5000 0.0000 0.7506
0.0000 0.5000 0.7506
0.5000 0.5000 0.0000
0.5000 0.0000 0.2494
0.0000 0.0000 0.5000
0.0000 0.0000 0.0000
```



> Among the records above, which one has the lowest calculated total energy?

Tb3DyHo5



> What is the calculated total energy in the third record?

-57.688 eV for the cell shown